No. 1
An optimized crystal structure of Nb12In3Os, computed with PBE.

```
Nb12In3Os
1.0
-1.258 -2.132 -4.671
5.125 -0.878 -0.980
-0.762 -9.541 4.559
In Nb Os
3 12 1
Cartesian
1.743 -3.887 -1.687
0.000 0.000 0.000
1.362 -8.663 0.595
2.243 -0.980 -1.676
3.315 -7.720 2.630
1.624 -2.029 -3.975
-1.293 -9.375 1.635
-1.100 -6.959 0.480
3.680 -3.149 0.446
-0.920 -4.713 -0.593
0.682 -7.270 3.133
1.229 -6.823 -1.748
1.876 -5.726 0.656
1.048 -2.698 0.949
-0.727 -2.297 -1.747
-0.381 -4.770 2.279
```

Calculated values
- Symmetry: Pmmm
- Crystal system: orthorhombic

No. 2
An optimized crystal structure of NbInOs2, computed with PBE.

```
NbInOs2
1.0
-2.523 0.937 -1.774
0.545 -2.422 -2.055
-3.851 -3.808 3.465
Nb Os In
1 2 1
Cartesian
-2.914 -2.646 -0.182
-2.834 -2.802 2.550
-1.017 -1.006 0.915
-0.989 -0.743 -1.915
```

Calculated values
- Symmetry: P4/mmm
- Crystal system: tetragonal

| no. | electronic total energy (Ry per atom) | M_tot (μB per formula unit) |
| --- | --- | --- |
| 1 | -0.6499 | 0.00 |
| 2 | -0.6454 | 0.00 |